LaSc2TcGe | GGA-PBE | relaxed

Properties
Its formation energy from the elements is 3.5 kJ/mol of atoms. As for the crystal system: tetragonal.

Lattice parameters (Å, degrees): 5.006 5.296 5.006 90.00 90.00 90.00
Fractional positions:
Ge 0.500 0.500 0.500
Sc 0.000 0.000 0.500
Sc 0.500 0.000 0.000
Tc 0.000 0.000 0.000
La 0.000 0.500 0.000


Zr3TcSn | GGA-PBE | relaxed

Properties
Its formation energy from the elements is 136.2 kJ/mol of atoms. For the energy above the most stable polymorph in this dataset, the calculation gives 1.1665 eV per atom. As for the crystal system: cubic.

Lattice parameters (Å, degrees): 5.232 5.232 5.232 90.00 90.00 90.00
Fractional positions:
Zr 0.000 0.500 0.000
Zr 0.500 0.000 0.000
Zr 0.000 0.000 0.500
Tc 0.500 0.500 0.500
Sn 0.000 0.000 0.000


LiY2Pb | GGA-PBE | relaxed

Properties
Its formation energy from the elements is -11.0 kJ/mol of atoms. As for the crystal system: monoclinic.

Lattice parameters (Å, degrees): 5.634 5.634 6.121 80.63 80.63 36.49
Fractional positions:
Li 0.250 0.250 0.250
Y 0.004 0.004 0.994
Y 0.496 0.496 0.506
Pb 0.750 0.750 0.750


Dy4TeP2 | GGA-PBE | relaxed

Properties
The value obtained for the uncorrected formation energy is -1.292 eV/atom. As for the crystal system: trigonal.

Lattice parameters (Å, degrees): 4.015 4.015 13.619 81.52 81.52 60.00
Fractional positions:
P 0.577 0.577 0.268
P 0.423 0.423 0.732
Te 0.000 0.000 0.000
Dy 0.282 0.282 0.155
Dy 0.128 0.128 0.615
Dy 0.872 0.872 0.385
Dy 0.718 0.718 0.845


SrIrRh | GGA-PBE | relaxed

Properties
Its formation energy from the elements is 3.5 kJ/mol of atoms. For the energy above the most stable polymorph in this dataset, the calculation gives 0.3097 eV per atom. As for the crystal system: orthorhombic.

Lattice parameters (Å, degrees): 5.857 5.857 5.857 150.95 139.76 50.39
Fractional positions:
Rh 0.382 0.382 0.000
Sr 0.665 0.665 0.000
Ir 0.952 0.952 0.000


CsAlPt3 | GGA-PBE | relaxed

Properties
Its formation energy from the elements is 20.4 kJ/mol of atoms. For the energy above the most stable polymorph in this dataset, the calculation gives 0.0000 eV per atom. As for the crystal system: cubic.

Lattice parameters (Å, degrees): 4.851 4.851 4.851 90.00 90.00 90.00
Fractional positions:
Pt 0.500 0.000 0.000
Pt 0.000 0.000 0.500
Pt 0.000 0.500 0.000
Al 0.000 0.000 0.000
Cs 0.500 0.500 0.500


SrSmVN3 | GGA-PBE | relaxed

Properties
The value obtained for the uncorrected formation energy is -0.998 eV/atom. As for the crystal system: monoclinic.

Lattice parameters (Å, degrees): 3.851 6.944 7.324 105.08 90.00 106.10
Fractional positions:
Sm 0.345 0.690 0.421
Sm 0.655 0.310 0.579
Sr 0.646 0.292 0.074
Sr 0.354 0.708 0.926
N 0.854 0.708 0.187
N 0.497 0.993 0.694
N 0.846 0.693 0.664
N 0.146 0.292 0.813
N 0.154 0.307 0.336
N 0.503 0.007 0.306
V 0.000 0.000 0.294
V 0.000 0.000 0.706


Mo2IrBr | GGA-PBE | relaxed

Properties
The value obtained for the uncorrected formation energy is 0.408 eV/atom. For the energy above the most stable polymorph in this dataset, the calculation gives 0.0218 eV per atom. As for the crystal system: orthorhombic.

Lattice parameters (Å, degrees): 3.707 2.844 6.937 89.97 90.00 90.00
Fractional positions:
Br 0.500 0.250 0.250
Mo 0.000 0.250 0.558
Mo 0.000 0.250 0.942
Ir 0.500 0.750 0.750


Cr3NiTe | GGA-PBE | relaxed

Properties
The value obtained for the uncorrected formation energy is 0.917 eV/atom. For the energy above the most stable polymorph in this dataset, the calculation gives 0.0000 eV per atom. As for the crystal system: cubic.

Lattice parameters (Å, degrees): 4.594 4.594 4.594 90.00 90.00 90.00
Fractional positions:
Cr 0.500 0.000 0.000
Cr 0.000 0.000 0.500
Cr 0.000 0.500 0.000
Te 0.500 0.500 0.500
Ni 0.000 0.000 0.000


NaTePd4 | GGA-PBE | relaxed

Properties
The value obtained for the uncorrected formation energy is -0.086 eV/atom. For the energy above the most stable polymorph in this dataset, the calculation gives 0.0895 eV per atom. As for the crystal system: cubic.

Lattice parameters (Å, degrees): 5.387 5.387 5.387 60.00 60.00 60.00
Fractional positions:
Pd 0.124 0.625 0.625
Pd 0.625 0.625 0.625
Pd 0.625 0.124 0.625
Pd 0.625 0.625 0.124
Te 0.000 0.000 0.000
Na 0.250 0.250 0.250


SrNiCl2 | GGA-PBE | relaxed

Properties
The value obtained for the uncorrected formation energy is -0.902 eV/atom. For the energy above the most stable polymorph in this dataset, the calculation gives 0.3270 eV per atom. As for the crystal system: trigonal.

Lattice parameters (Å, degrees): 5.708 5.708 5.708 44.76 44.76 44.76
Fractional positions:
Ni 0.250 0.250 0.250
Cl 0.983 0.983 0.983
Cl 0.517 0.517 0.517
Sr 0.750 0.750 0.750


Ac8Ni3PdI4 | GGA-PBE | relaxed

Properties
The value obtained for the uncorrected formation energy is -0.779 eV/atom. As for the crystal system: monoclinic.

Lattice parameters (Å, degrees): 8.805 10.014 8.798 116.11 120.03 90.00
Fractional positions:
Ac 0.280 0.316 0.048
Ac 0.232 0.684 0.952
Ac 0.273 0.319 0.546
Ac 0.768 0.317 0.537
Ac 0.720 0.684 0.952
Ac 0.232 0.683 0.463
Ac 0.768 0.316 0.048
Ac 0.727 0.681 0.454
I 0.000 0.000 0.000
I 0.500 0.000 0.000
I 0.500 0.000 0.500
I 0.000 0.000 0.500
Ni 0.500 0.500 0.500
Ni 0.000 0.500 0.500
Ni 0.500 0.500 0.000
Pd 0.000 0.500 0.000


Sequential final energy output: -6.478, -6.591, -4.751, -5.917, -5.929, -4.332, -7.747, -7.641, -6.641, -4.292, -3.691, -4.629 eV/atom
Sequential DOS at the Fermi energy output: 0.274, 2.099, 0.852, 0.614, 0.973, 0.223, 0.021, 1.085, 2.032, 0.605, 0.965, 0.681 states/eV/atom